No. 1
Ac4Ce3SmS8: relaxed, PBE-GGA.

- E_form (uncorrected): -2006.3 meV per atom
- Final energy: -6.50 eV/atom
- V: 409.60 Å³ per cell
- D(E_F): 19.62 states/eV/cell

abc: 8.311 8.361 8.311
angles: 119.80 120.00 90.00
Element x y z (fractional)
1 S 0.744 0.732 0.488
2 S 0.256 0.268 0.512
3 Sm 0.000 0.500 0.000
4 Ac 0.000 0.000 0.500
5 Ac 0.500 0.000 0.000
6 S 0.745 0.731 0.988
7 S 0.757 0.269 0.012
8 Ce 0.500 0.500 0.000
9 Ce 0.500 0.500 0.500
10 S 0.243 0.731 0.486
11 Ce 0.000 0.500 0.500
12 S 0.255 0.269 0.012
13 S 0.243 0.731 0.988
14 Ac 0.500 0.000 0.500
15 Ac 0.000 0.000 0.000
16 S 0.757 0.269 0.514



No. 2
AcCe2Sm3S6: relaxed, PBE-GGA.

- E_form (uncorrected): -2018.1 meV per atom
- Final energy: -6.59 eV/atom
- V: 285.81 Å³ per cell
- D(E_F): 13.12 states/eV/cell

abc: 7.034 7.034 7.078
angles: 99.58 99.58 120.03
Element x y z (fractional)
1 S 0.087 0.429 0.260
2 Ce 0.333 0.667 0.000
3 Ac 0.000 0.000 0.000
4 S 0.913 0.571 0.740
5 Sm 0.163 0.837 0.500
6 S 0.571 0.913 0.740
7 Sm 0.837 0.163 0.500
8 S 0.258 0.258 0.744
9 Ce 0.667 0.333 0.000
10 S 0.429 0.087 0.260
11 Sm 0.500 0.500 0.500
12 S 0.742 0.742 0.256



No. 3
Ac3Ce2SmS6: relaxed, PBE-GGA.

- E_form (uncorrected): -2006.5 meV per atom
- Final energy: -6.48 eV/atom
- V: 306.91 Å³ per cell
- D(E_F): 13.47 states/eV/cell

abc: 7.192 7.192 7.266
angles: 99.53 99.53 120.05
Element x y z (fractional)
1 Ac 0.167 0.833 0.500
2 S 0.745 0.745 0.231
3 S 0.077 0.409 0.231
4 Sm 0.000 0.000 0.000
5 Ce 0.334 0.666 0.000
6 Ce 0.666 0.334 0.000
7 S 0.923 0.591 0.769
8 S 0.255 0.255 0.769
9 Ac 0.500 0.500 0.500
10 Ac 0.833 0.167 0.500
11 S 0.409 0.077 0.231
12 S 0.591 0.923 0.769



No. 4
AcCe3Sm2S6: relaxed, PBE-GGA.

- E_form (uncorrected): -2015.8 meV per atom
- Final energy: -6.69 eV/atom
- V: 286.75 Å³ per cell
- D(E_F): 17.19 states/eV/cell

abc: 7.054 7.054 7.063
angles: 99.61 99.61 120.03
Element x y z (fractional)
1 S 0.571 0.915 0.745
2 Ce 0.163 0.837 0.500
3 S 0.085 0.429 0.255
4 S 0.261 0.261 0.749
5 Ac 0.000 0.000 0.000
6 Ce 0.500 0.500 0.500
7 S 0.739 0.739 0.251
8 Sm 0.667 0.333 0.000
9 Ce 0.837 0.163 0.500
10 S 0.915 0.571 0.745
11 Sm 0.333 0.667 0.000
12 S 0.429 0.085 0.255



No. 5
Ac2TbCeS4: relaxed, PBE-GGA.

- E_form (uncorrected): -1999.0 meV per atom
- Final energy: -6.41 eV/atom
- V: 201.14 Å³ per cell
- D(E_F): 7.91 states/eV/cell

abc: 4.105 7.148 7.252
angles: 109.03 90.00 90.00
Element x y z (fractional)
1 S 0.500 0.237 0.225
2 S 0.000 0.747 0.228
3 Ac 0.500 0.000 0.500
4 S 0.500 0.763 0.775
5 S 0.000 0.253 0.772
6 Ce 0.500 0.500 0.000
7 Ac 0.000 0.500 0.500
8 Tb 0.000 0.000 0.000



No. 6
AcCeTeS2: relaxed, PBE-GGA.

- E_form (uncorrected): -1701.1 meV per atom
- Final energy: -5.99 eV/atom
- V: 155.64 Å³ per cell
- D(E_F): 7.49 states/eV/cell

abc: 4.649 4.649 7.917
angles: 107.07 107.07 90.00
Element x y z (fractional)
1 Te 0.499 0.499 0.998
2 S 0.245 0.745 0.491
3 Ac 0.865 0.865 0.730
4 S 0.745 0.245 0.491
5 Ce 0.145 0.145 0.291



No. 7
AcCeTeS: relaxed, PBE-GGA.

- E_form (uncorrected): -1426.8 meV per atom
- Final energy: -5.75 eV/atom
- V: 260.22 Å³ per cell
- D(E_F): 13.83 states/eV/cell

abc: 4.898 4.898 10.847
angles: 90.00 90.00 90.00
Element x y z (fractional)
1 Te 0.000 0.500 0.301
2 Te 0.500 0.000 0.699
3 Ce 0.000 0.000 0.500
4 Ac 0.000 0.500 0.857
5 S 0.000 0.000 0.000
6 Ce 0.500 0.500 0.500
7 S 0.500 0.500 0.000
8 Ac 0.500 0.000 0.143



No. 8
Ac2CeTe2S2: relaxed, PBE-GGA.

- E_form (uncorrected): -1594.1 meV per atom
- Final energy: -5.69 eV/atom
- V: 229.79 Å³ per cell
- D(E_F): 8.39 states/eV/cell

abc: 5.240 5.240 9.152
angles: 106.64 106.64 90.00
Element x y z (fractional)
1 S 0.000 0.500 0.000
2 Ac 0.382 0.382 0.763
3 Ac 0.618 0.618 0.237
4 Ce 0.000 0.000 0.000
5 Te 0.184 0.184 0.369
6 S 0.500 0.000 0.000
7 Te 0.816 0.816 0.631